Compound: SrPmDy2S4
Source: the Alexandria database
Functional: PBE
Structure: optimized geometry

## Properties
* DFT total energy: -48.26 eV for the cell shown
* formation energy without anion corrections: -2.014 eV per atom

a b c (Å): 6.9639 3.9878 6.9776
angles (deg): 90.00 109.03 90.00
Closest atoms and distances in Å follow each position.
Space group P2/m (No. 10)
One atom of each set of equivalent atoms:
1 Sr 0.0000 0.0000 0.0000 [1 per cell]  6 S 2.91-2.92
2 Pm 0.5000 0.5000 0.0000 [1 per cell]  6 S 2.89
3 Dy 0.0000 0.5000 0.5000 [1 per cell]  6 S 2.79
4 Dy 0.5000 0.0000 0.5000 [1 per cell]  6 S 2.77
5 S 0.2478 0.0000 0.7358 [2 per cell]  3 Dy 2.77-2.79, 2 Pm 2.89, 1 Sr 2.91
6 S 0.2591 0.5000 0.2674 [2 per cell]  3 Dy 2.77-2.79, 1 Pm 2.89, 2 Sr 2.92

***

Compound: Tb2PmDyS6
Source: the Alexandria database
Functional: PBE
Structure: optimized geometry

## Properties
* DFT total energy: -191.65 eV for the cell shown
* formation energy without anion corrections: -2.051 eV per atom

a b c (Å): 6.9884 6.9884 18.6191
angles (deg): 90.00 90.00 120.00
Closest atoms and distances in Å follow each position.
Space group R3 (No. 146, hexagonal axes)
One atom of each set of equivalent atoms:
1 Tb 0.0000 0.0000 0.0000 [3 per cell]  6 S 2.72-2.80
2 Tb 0.0000 0.0000 0.4976 [3 per cell]  6 S 2.73-2.80
3 Pm 0.0000 0.0000 0.2036 [3 per cell]  6 S 2.78-2.88
4 Dy 0.0000 0.0000 0.6999 [3 per cell]  6 S 2.73-2.79
5 S 0.9998 0.3027 0.0986 [9 per cell]  1 Dy 2.73, 2 Tb 2.73-2.80, 1 Pm 2.88
6 S 0.0110 0.7100 0.5993 [9 per cell]  2 Tb 2.72-2.80, 1 Pm 2.78, 1 Dy 2.79

***

Compound: Tb4PmDy3S8
Source: the Alexandria database
Functional: PBE
Structure: optimized geometry

## Properties
* DFT total energy: -306.30 eV for the cell shown
* formation energy without anion corrections: -2.000 eV per atom

a b c (Å): 7.8687 7.8687 19.2613
angles (deg): 90.00 90.00 120.00
Closest atoms and distances in Å follow each position.
Space group R-3m (No. 166, hexagonal axes)
One atom of each set of equivalent atoms:
1 Tb 0.0000 0.0000 0.0000 [3 per cell]  6 S 2.74
2 Tb 0.0000 0.5000 0.0000 [9 per cell]  6 S 2.79
3 Pm 0.0000 0.0000 0.5000 [3 per cell]  6 S 2.82
4 Dy 0.0000 0.5000 0.5000 [9 per cell]  6 S 2.77
5 S 0.0000 0.0000 0.2492 [6 per cell]  3 Dy 2.77, 3 Tb 2.79
6 S 0.0056 0.5028 0.7494 [18 per cell]  3 Tb 2.74-2.79, 2 Dy 2.77, 1 Pm 2.82

***

Which value of formation energy without anion corrections does entry 3 give? -2.000 eV per atom